Density functional theory data (PBE-GGA) for an optimized crystal structure of La5Nd3As8.

The space group is R-3m (No. 166, hexagonal axes) and the conventional cell measures 8.6767, 8.6767 and 21.2555 Å, with angles of 90.00, 90.00 and 120.00 degrees. The asymmetric unit holds La at (0.0000, 0.0000, 0.0000), La at (0.0000, 0.0000, 0.5000), La at (0.0000, 0.5000, 0.0000), Nd at (0.0000, 0.5000, 0.5000), As at (0.0000, 0.0000, 0.2487) and As at (0.0019, 0.5010, 0.7510).

The value obtained for the size of the total moment is 0.0 μB/cell. The total energy is -6.31 eV/atom. As for the density of states at the Fermi level: 9.817 states/eV per cell. The crystal system is trigonal. For the formation energy, the calculation gives -1.549 eV per atom.